# 1
VASP calculation (PBE) on an optimized crystal structure of Te2IrF.

Values from the calculation:
Its density of states at the Fermi level is 1.98 states/eV per cell. For the final energy, the calculation gives -4.74 eV/atom.

The structure in CIF format:
```
data_Te2IrF
_chemical_formula_sum 'Te2 Ir1 F1'
_cell_length_a 4.7222
_cell_length_b 3.7884
_cell_length_c 6.2143
_cell_angle_alpha 90.00
_cell_angle_beta 108.86
_cell_angle_gamma 90.00
_symmetry_space_group_name_H-M 'P 1'
_symmetry_Int_Tables_number 1
loop_
_symmetry_equiv_pos_as_xyz
'x,y,z'
loop_
_atom_site_label
_atom_site_type_symbol
_atom_site_fract_x
_atom_site_fract_y
_atom_site_fract_z
Te1 Te 0.0000 0.0000 0.0000
Te2 Te 0.3049 0.5000 0.5565
Ir1 Ir 0.4306 0.0000 0.8329
F1 F 0.6604 0.5000 0.4413
```

=====

# 2
VASP calculation (PBE) on an optimized crystal structure of Nd2EuSn.

Values from the calculation:
Its density of states at the Fermi level is 4.37 states/eV per cell. The calculation puts the formation energy at -0.42 eV per atom.

The structure in CIF format:
```
data_Nd2EuSn
_chemical_formula_sum 'Nd2 Eu1 Sn1'
_cell_length_a 5.0321
_cell_length_b 5.0321
_cell_length_c 4.8826
_cell_angle_alpha 90.00
_cell_angle_beta 90.00
_cell_angle_gamma 90.00
_symmetry_space_group_name_H-M 'P 1'
_symmetry_Int_Tables_number 1
loop_
_symmetry_equiv_pos_as_xyz
'x,y,z'
loop_
_atom_site_label
_atom_site_type_symbol
_atom_site_fract_x
_atom_site_fract_y
_atom_site_fract_z
Nd1 Nd 0.0000 0.5000 0.0000
Nd2 Nd 0.5000 0.0000 0.0000
Eu1 Eu 0.0000 0.0000 0.5000
Sn1 Sn 0.5000 0.5000 0.5000
```

=====

# 3
VASP calculation (PBE) on an optimized crystal structure of Sc8SbSe6.

Values from the calculation:
Its density of states at the Fermi level is 10.79 states/eV per cell. For the final energy, the calculation gives -6.26 eV/atom.

The structure in CIF format:
```
data_Sc8SbSe6
_chemical_formula_sum 'Sc8 Sb1 Se6'
_cell_length_a 10.0106
_cell_length_b 10.0106
_cell_length_c 3.8044
_cell_angle_alpha 90.00
_cell_angle_beta 90.00
_cell_angle_gamma 120.00
_symmetry_space_group_name_H-M 'P 1'
_symmetry_Int_Tables_number 1
loop_
_symmetry_equiv_pos_as_xyz
'x,y,z'
loop_
_atom_site_label
_atom_site_type_symbol
_atom_site_fract_x
_atom_site_fract_y
_atom_site_fract_z
Sc1 Sc 0.0316 0.3098 0.2432
Sc2 Sc 0.2782 0.9684 0.2432
Sc3 Sc 0.3098 0.2782 0.7568
Sc4 Sc 0.3333 0.6667 0.7549
Sc5 Sc 0.6667 0.3333 0.2451
Sc6 Sc 0.6902 0.7218 0.2432
Sc7 Sc 0.7218 0.0316 0.7568
Sc8 Sc 0.9684 0.6902 0.7568
Sb1 Sb 0.0000 0.0000 0.0000
Se1 Se 0.1312 0.6573 0.2531
Se2 Se 0.3427 0.4739 0.2531
Se3 Se 0.4739 0.1312 0.7469
Se4 Se 0.5261 0.8688 0.2531
Se5 Se 0.6573 0.5261 0.7469
Se6 Se 0.8688 0.3427 0.7469
```

=====

# 4
VASP calculation (PBE) on an optimized crystal structure of Li3MgRe.

Values from the calculation:
Its density of states at the Fermi level is 7.77 states/eV per cell. The calculation puts the formation energy at 1.24 eV per atom.

The structure in CIF format:
```
data_Li3MgRe
_chemical_formula_sum 'Li3 Mg1 Re1'
_cell_length_a 4.8665
_cell_length_b 4.8665
_cell_length_c 4.8665
_cell_angle_alpha 90.00
_cell_angle_beta 90.00
_cell_angle_gamma 90.00
_symmetry_space_group_name_H-M 'P 1'
_symmetry_Int_Tables_number 1
loop_
_symmetry_equiv_pos_as_xyz
'x,y,z'
loop_
_atom_site_label
_atom_site_type_symbol
_atom_site_fract_x
_atom_site_fract_y
_atom_site_fract_z
Li1 Li 0.0000 0.0000 0.5000
Li2 Li 0.0000 0.5000 0.0000
Li3 Li 0.5000 0.0000 0.0000
Mg1 Mg 0.5000 0.5000 0.5000
Re1 Re 0.0000 0.0000 0.0000
```

=====

# 5
VASP calculation (PBE) on an optimized crystal structure of In2SbTe.

Values from the calculation:
Its density of states at the Fermi level is 1.50 states/eV per cell. For the final energy, the calculation gives -3.19 eV/atom.

The structure in CIF format:
```
data_In2SbTe
_chemical_formula_sum 'In2 Sb1 Te1'
_cell_length_a 3.1688
_cell_length_b 5.8680
_cell_length_c 6.3268
_cell_angle_alpha 90.00
_cell_angle_beta 91.38
_cell_angle_gamma 90.00
_symmetry_space_group_name_H-M 'P 1'
_symmetry_Int_Tables_number 1
loop_
_symmetry_equiv_pos_as_xyz
'x,y,z'
loop_
_atom_site_label
_atom_site_type_symbol
_atom_site_fract_x
_atom_site_fract_y
_atom_site_fract_z
In1 In 0.2328 0.0000 0.2505
In2 In 0.7672 0.0000 0.7495
Sb1 Sb 0.0000 0.5000 0.0000
Te1 Te 0.0000 0.5000 0.5000
```

=====

# 6
VASP calculation (PBE) on an optimized crystal structure of HPb2F5.

Values from the calculation:
Its density of states at the Fermi level is 0.00 states/eV per cell. For the final energy, the calculation gives -4.69 eV/atom.

The structure in CIF format:
```
data_HPb2F5
_chemical_formula_sum 'H2 Pb4 F10'
_cell_length_a 7.8112
_cell_length_b 7.8112
_cell_length_c 10.4903
_cell_angle_alpha 90.00
_cell_angle_beta 90.00
_cell_angle_gamma 145.10
_symmetry_space_group_name_H-M 'P 1'
_symmetry_Int_Tables_number 1
loop_
_symmetry_equiv_pos_as_xyz
'x,y,z'
loop_
_atom_site_label
_atom_site_type_symbol
_atom_site_fract_x
_atom_site_fract_y
_atom_site_fract_z
H1 H 0.0141 0.9859 0.7500
H2 H 0.9859 0.0141 0.2500
Pb1 Pb 0.1456 0.8544 0.0384
Pb2 Pb 0.1456 0.8544 0.4616
Pb3 Pb 0.8544 0.1456 0.5384
Pb4 Pb 0.8544 0.1456 0.9616
F1 F 0.0128 0.9872 0.6405
F2 F 0.0128 0.9872 0.8595
F3 F 0.1849 0.8151 0.2500
F4 F 0.3064 0.6936 0.5225
F5 F 0.3064 0.6936 0.9775
F6 F 0.6936 0.3064 0.0225
F7 F 0.6936 0.3064 0.4775
F8 F 0.8151 0.1849 0.7500
F9 F 0.9872 0.0128 0.1405
F10 F 0.9872 0.0128 0.3595
```

=====

# 7
VASP calculation (PBE) on an optimized crystal structure of Ho2TiIn.

Values from the calculation:
Its density of states at the Fermi level is 4.77 states/eV per cell. The calculation puts the formation energy at -0.09 eV per atom.

The structure in CIF format:
```
data_Ho2TiIn
_chemical_formula_sum 'Ho2 Ti1 In1'
_cell_length_a 5.2332
_cell_length_b 5.2332
_cell_length_c 5.2332
_cell_angle_alpha 60.00
_cell_angle_beta 60.00
_cell_angle_gamma 60.00
_symmetry_space_group_name_H-M 'P 1'
_symmetry_Int_Tables_number 1
loop_
_symmetry_equiv_pos_as_xyz
'x,y,z'
loop_
_atom_site_label
_atom_site_type_symbol
_atom_site_fract_x
_atom_site_fract_y
_atom_site_fract_z
Ho1 Ho 0.2500 0.2500 0.2500
Ho2 Ho 0.7500 0.7500 0.7500
Ti1 Ti 0.0000 0.0000 0.0000
In1 In 0.5000 0.5000 0.5000
```

=====

# 8
VASP calculation (PBE) on an optimized crystal structure of TmPu2As3.

Values from the calculation:
Its density of states at the Fermi level is 80.92 states/eV per cell. The calculation puts the formation energy at -1.18 eV per atom.

The structure in CIF format:
```
data_TmPu2As3
_chemical_formula_sum 'Tm4 Pu8 As12'
_cell_length_a 13.6340
_cell_length_b 12.9992
_cell_length_c 7.1157
_cell_angle_alpha 79.50
_cell_angle_beta 69.63
_cell_angle_gamma 30.87
_symmetry_space_group_name_H-M 'P 1'
_symmetry_Int_Tables_number 1
loop_
_symmetry_equiv_pos_as_xyz
'x,y,z'
loop_
_atom_site_label
_atom_site_type_symbol
_atom_site_fract_x
_atom_site_fract_y
_atom_site_fract_z
Tm1 Tm 0.0416 0.0416 0.2084
Tm2 Tm 0.2084 0.2084 0.0416
Tm3 Tm 0.7916 0.7916 0.9584
Tm4 Tm 0.9584 0.9584 0.7916
Pu1 Pu 0.1250 0.1250 0.6250
Pu2 Pu 0.2916 0.2916 0.4584
Pu3 Pu 0.3750 0.3750 0.8750
Pu4 Pu 0.4584 0.4584 0.2916
Pu5 Pu 0.5416 0.5416 0.7084
Pu6 Pu 0.6250 0.6250 0.1250
Pu7 Pu 0.7084 0.7084 0.5416
Pu8 Pu 0.8750 0.8750 0.3750
As1 As 0.0416 0.5415 0.2075
As2 As 0.1238 0.6262 0.6262
As3 As 0.2075 0.7094 0.0416
As4 As 0.2906 0.7925 0.4585
As5 As 0.3738 0.8762 0.8762
As6 As 0.4585 0.9584 0.2906
As7 As 0.5415 0.0416 0.7094
As8 As 0.6262 0.1238 0.1238
As9 As 0.7094 0.2075 0.5415
As10 As 0.7925 0.2906 0.9584
As11 As 0.8762 0.3738 0.3738
As12 As 0.9584 0.4585 0.7925
```